# 1
Here is an optimized crystal structure of BaScZn from Alexandria. Energies are from PBE.

The distance to the lowest polymorph of the same formula comes out at 0.392 eV per atom. For the formation energy, the calculation gives 309 meV per atom. The spin magnetization is 0.00 μB per formula unit. The value obtained for the density of states at the Fermi level is 1.6923 states/eV per atom.

The space group is F-43m (No. 216) and the conventional cell measures 7.413, 7.413 and 7.413 Å, with angles of 90.00, 90.00 and 90.00 degrees. The asymmetric unit holds Ba at (0.000, 0.000, 0.000), Sc at (0.000, 0.000, 0.500) and Zn at (0.250, 0.250, 0.250).

# 2
Here is an optimized crystal structure of Ca6Al2Ga from Alexandria. Energies are from PBE.

For the formation energy, the calculation gives -185 meV per atom. The spin magnetization is 0.00 μB per formula unit. The value obtained for the density of states at the Fermi level is 0.8688 states/eV per atom.

The space group is Immm (No. 71) and the conventional cell measures 10.163, 10.336 and 10.741 Å, with angles of 90.00, 90.00 and 90.00 degrees. The asymmetric unit holds Ca at (0.000, 0.214, 0.169), Ca at (0.176, 0.236, 0.500), Ca at (0.194, 0.500, 0.246), Al at (0.000, 0.000, 0.378), Al at (0.142, 0.000, 0.000), Ga at (0.000, 0.500, 0.000) and Ga at (0.000, 0.500, 0.500).

# 3
Here is an optimized crystal structure of Sm2TcC from Alexandria. Energies are from PBE.

For the formation energy, the calculation gives 678 meV per atom. The spin magnetization is 1.45 μB per formula unit. The value obtained for the density of states at the Fermi level is 0.6701 states/eV per atom.

The space group is R-3m (No. 166, hexagonal axes) and the conventional cell measures 3.4763, 3.4763 and 25.1592 Å, with angles of 90.00, 90.00 and 120.00 degrees. The asymmetric unit holds Sm at (0.0000, 0.0000, 0.1097), Tc at (0.0000, 0.0000, 0.0000) and C at (0.0000, 0.0000, 0.5000).

# 4
Here is an optimized crystal structure of LiP2Rh from Alexandria. Energies are from PBE.

The distance to the lowest polymorph of the same formula comes out at 0.389 eV per atom. For the formation energy, the calculation gives -44 meV per atom. The spin magnetization is 0.00 μB per formula unit. The value obtained for the density of states at the Fermi level is 0.2807 states/eV per atom.

The space group is F-43m (No. 216) and the conventional cell measures 5.923, 5.923 and 5.923 Å, with angles of 90.00, 90.00 and 90.00 degrees. The asymmetric unit holds Li at (0.000, 0.000, 0.000), P at (0.000, 0.000, 0.500), P at (0.250, 0.250, 0.250) and Rh at (0.250, 0.250, 0.750).

Question: What is the spin magnetization in the third record?
Answer: 1.45 μB per formula unit

Question: Which of these has the highest formation energy?
Answer: Sm2TcC

Repeat the first record exactly.
Here is an optimized crystal structure of BaScZn from Alexandria. Energies are from PBE.

The distance to the lowest polymorph of the same formula comes out at 0.392 eV per atom. For the formation energy, the calculation gives 309 meV per atom. The spin magnetization is 0.00 μB per formula unit. The value obtained for the density of states at the Fermi level is 1.6923 states/eV per atom.

The space group is F-43m (No. 216) and the conventional cell measures 7.413, 7.413 and 7.413 Å, with angles of 90.00, 90.00 and 90.00 degrees. The asymmetric unit holds Ba at (0.000, 0.000, 0.000), Sc at (0.000, 0.000, 0.500) and Zn at (0.250, 0.250, 0.250).